A plane-wave DFT calculation with PBE was carried out for a relaxed MgPO3 crystal.

The structure in CIF format:
```
data_MgPO3
_cell_length_a 3.599
_cell_length_b 3.599
_cell_length_c 3.599
_cell_angle_alpha 90.00
_cell_angle_beta 90.00
_cell_angle_gamma 90.00
_symmetry_space_group_name_H-M 'P m -3 m'
_symmetry_Int_Tables_number 221
_symmetry_space_group_name_Hall '-P 4 2 3'
loop_
_atom_site_label
_atom_site_type_symbol
_atom_site_fract_x
_atom_site_fract_y
_atom_site_fract_z
_atom_site_occupancy
Mg1 Mg 0.000 0.000 0.000 1
P1 P 0.500 0.500 0.500 1
O1 O 0.000 0.500 0.500 1
```

---

A plane-wave DFT calculation with PBE was carried out for a relaxed MgP2O6 crystal.

The structure in CIF format:
```
data_MgP2O6
_cell_length_a 9.938
_cell_length_b 3.597
_cell_length_c 6.010
_cell_angle_alpha 90.00
_cell_angle_beta 100.34
_cell_angle_gamma 90.00
_symmetry_space_group_name_H-M 'C 1 2/m 1'
_symmetry_Int_Tables_number 12
_symmetry_space_group_name_Hall '-C 2y'
loop_
_atom_site_label
_atom_site_type_symbol
_atom_site_fract_x
_atom_site_fract_y
_atom_site_fract_z
_atom_site_occupancy
Mg1 Mg 0.000 0.000 0.000 1
P1 P 0.249 0.500 0.320 1
O1 O 0.111 0.500 0.163 1
O2 O 0.120 0.000 0.767 1
O3 O 0.245 0.000 0.401 1
```

---

A plane-wave DFT calculation with PBE was carried out for a relaxed MgP3O9 crystal.

The structure in CIF format:
```
data_MgP3O9
_cell_length_a 13.714
_cell_length_b 6.708
_cell_length_c 9.762
_cell_angle_alpha 90.00
_cell_angle_beta 127.74
_cell_angle_gamma 90.00
_symmetry_space_group_name_H-M 'C 1 c 1'
_symmetry_Int_Tables_number 9
_symmetry_space_group_name_Hall 'C -2yc'
loop_
_atom_site_label
_atom_site_type_symbol
_atom_site_fract_x
_atom_site_fract_y
_atom_site_fract_z
_atom_site_occupancy
Mg1 Mg 0.000 0.233 0.000 1
P1 P 0.142 0.408 0.828 1
P2 P 0.260 0.069 0.771 1
P3 P 0.357 0.399 0.670 1
O1 O 0.049 0.328 0.846 1
O2 O 0.095 0.486 0.161 1
O3 O 0.143 0.027 0.124 1
O4 O 0.229 0.440 0.482 1
O5 O 0.238 0.237 0.867 1
O6 O 0.324 0.182 0.701 1
O7 O 0.355 0.072 0.410 1
O8 O 0.374 0.456 0.299 1
O9 O 0.458 0.376 0.656 1
```

---

A plane-wave DFT calculation with PBE was carried out for a relaxed Mg2PO6 crystal.

The structure in CIF format:
```
data_Mg2PO6
_cell_length_a 4.531
_cell_length_b 4.531
_cell_length_c 8.906
_cell_angle_alpha 90.00
_cell_angle_beta 90.00
_cell_angle_gamma 90.00
_symmetry_space_group_name_H-M 'P 42/m n m'
_symmetry_Int_Tables_number 136
_symmetry_space_group_name_Hall '-P 4n 2n'
loop_
_atom_site_label
_atom_site_type_symbol
_atom_site_fract_x
_atom_site_fract_y
_atom_site_fract_z
_atom_site_occupancy
Mg1 Mg 0.000 0.000 0.167 1
P1 P 0.000 0.000 0.500 1
O1 O 0.182 0.182 0.362 1
O2 O 0.238 0.238 0.000 1
```

---

A plane-wave DFT calculation with PBE was carried out for a relaxed MgP2O2 crystal.

Computed properties:
Offset from the most stable computed form (meV per atom): 0

The structure in CIF format:
```
data_MgP2O2
_cell_length_a 3.553
_cell_length_b 3.553
_cell_length_c 4.787
_cell_angle_alpha 90.00
_cell_angle_beta 90.00
_cell_angle_gamma 90.00
_symmetry_space_group_name_H-M 'P 4/m m m'
_symmetry_Int_Tables_number 123
_symmetry_space_group_name_Hall '-P 4 2'
loop_
_atom_site_label
_atom_site_type_symbol
_atom_site_fract_x
_atom_site_fract_y
_atom_site_fract_z
_atom_site_occupancy
Mg1 Mg 0.000 0.000 0.000 1
P1 P 0.500 0.500 0.000 1
P2 P 0.500 0.500 0.500 1
O1 O 0.000 0.500 0.500 1
```

---

A plane-wave DFT calculation with PBE was carried out for a relaxed MgP2O2 crystal.

Computed properties:
Offset from the most stable computed form (meV per atom): 795

The structure in CIF format:
```
data_MgP2O2
_cell_length_a 3.627
_cell_length_b 3.627
_cell_length_c 5.803
_cell_angle_alpha 90.00
_cell_angle_beta 90.00
_cell_angle_gamma 90.00
_symmetry_space_group_name_H-M 'P 4/m m m'
_symmetry_Int_Tables_number 123
_symmetry_space_group_name_Hall '-P 4 2'
loop_
_atom_site_label
_atom_site_type_symbol
_atom_site_fract_x
_atom_site_fract_y
_atom_site_fract_z
_atom_site_occupancy
Mg1 Mg 0.000 0.000 0.000 1
P1 P 0.000 0.500 0.500 1
O1 O 0.500 0.500 0.000 1
O2 O 0.500 0.500 0.500 1
```

---

no.,total magnetic moment (μB per cell),ΔE_f (raw) (eV/atom),D(E_F) (states/eV/cell)
1,0.00,-1.43,0.64
2,0.00,-2.16,0.00
3,4.33,-2.11,18.99
4,6.03,-1.72,11.96
5,0.00,-0.69,1.74
6,0.00,0.10,2.07